Material: Cd2CN2F2
Method: DFT, PBE
State: optimized geometry

Values from the calculation:
E_form (uncorrected), eV per atom: -0.879
E, eV per cell: -37.60

a = 3.600 Å, b = 5.246 Å, c = 6.050 Å
α = 90.00°, β = 90.00°, γ = 110.07°
Sites, in units of the cell vectors:
Cd 0.721 0.442 0.255
Cd 0.279 0.558 0.745
C 0.000 0.000 0.500
N 0.880 0.760 0.559
N 0.120 0.240 0.441
F 0.657 0.314 0.896
F 0.343 0.686 0.104